1.
{
  "formula": "Pr2IrSe",
  "functional": "PBE",
  "state": "relaxed",
  "lattice": [[3.6194, 0.0000, 0.0000], [0.0000, 3.6194, 0.0000], [0.0000, 0.0000, 7.4442]],
  "species": ["Pr", "Pr", "Ir", "Se"],
  "fractional_positions": [[0.0000, 0.0000, 0.2345], [0.0000, 0.0000, 0.7655], [0.5000, 0.5000, 0.0000], [0.5000, 0.5000, 0.5000]],
  "volume_a3_per_atom": 24.38
}



2.
{
  "formula": "Pr2IrSe",
  "functional": "PBE",
  "state": "relaxed",
  "lattice": [[4.1524, 0.0000, 0.0000], [-2.0762, 3.5961, 0.0000], [0.0000, 0.0000, 22.2858]],
  "species": ["Pr", "Pr", "Pr", "Pr", "Pr", "Pr", "Ir", "Ir", "Ir", "Se", "Se", "Se"],
  "fractional_positions": [[0.0000, 0.0000, 0.0000], [0.0000, 0.0000, 0.1848], [0.3333, 0.6667, 0.6667], [0.3333, 0.6667, 0.8514], [0.6667, 0.3333, 0.3333], [0.6667, 0.3333, 0.5181], [0.0000, 0.0000, 0.5919], [0.3333, 0.6667, 0.2586], [0.6667, 0.3333, 0.9252], [0.0000, 0.0000, 0.4255], [0.3333, 0.6667, 0.0922], [0.6667, 0.3333, 0.7588]],
  "volume_a3_per_atom": 27.73
}



3.
{
  "formula": "Pr2IrSe",
  "functional": "PBE",
  "state": "relaxed",
  "lattice": [[4.1870, 0.0000, 0.0000], [0.0000, 6.0007, 0.0000], [0.0000, 0.0000, 8.7030]],
  "species": ["Pr", "Pr", "Pr", "Pr", "Ir", "Ir", "Se", "Se"],
  "fractional_positions": [[0.2500, 0.2500, 0.1230], [0.2500, 0.2500, 0.6620], [0.7500, 0.7500, 0.3380], [0.7500, 0.7500, 0.8770], [0.2500, 0.7500, 0.1148], [0.7500, 0.2500, 0.8852], [0.2500, 0.7500, 0.6053], [0.7500, 0.2500, 0.3947]],
  "volume_a3_per_atom": 27.33
}



4.
{
  "formula": "Pr2IrSe",
  "functional": "PBE",
  "state": "relaxed",
  "lattice": [[7.2136, 0.0000, 0.0000], [0.0000, 4.1568, 0.0000], [-2.3853, 0.0000, 7.3059]],
  "species": ["Pr", "Pr", "Pr", "Pr", "Ir", "Ir", "Se", "Se"],
  "fractional_positions": [[0.2425, 0.0000, 0.2277], [0.2575, 0.5000, 0.7723], [0.7425, 0.5000, 0.2277], [0.7575, 0.0000, 0.7723], [0.0000, 0.5000, 0.0000], [0.5000, 0.0000, 0.0000], [0.0000, 0.0000, 0.5000], [0.5000, 0.5000, 0.5000]],
  "volume_a3_per_atom": 27.38
}



In eV/atom, relative to the most stable structure: 1 0.137; 2 0.063; 3 0.000; 4 0.015.



1.
{
  "formula": "Pr2Si3Ir2",
  "functional": "PBE",
  "state": "relaxed",
  "lattice": [[11.0917, 0.0000, 0.0000], [0.0000, 4.0245, 0.0000], [-3.6367, 0.0000, 6.1203]],
  "species": ["Pr", "Pr", "Pr", "Pr", "Si", "Si", "Si", "Si", "Si", "Si", "Ir", "Ir", "Ir", "Ir"],
  "fractional_positions": [[0.1385, 0.0000, 0.2637], [0.3615, 0.5000, 0.7363], [0.6385, 0.5000, 0.2637], [0.8615, 0.0000, 0.7363], [0.0000, 0.5000, 0.5000], [0.1465, 0.5000, 0.9319], [0.3535, 0.0000, 0.0681], [0.5000, 0.0000, 0.5000], [0.6465, 0.0000, 0.9319], [0.8535, 0.5000, 0.0681], [0.1339, 0.0000, 0.7192], [0.3661, 0.5000, 0.2808], [0.6339, 0.5000, 0.7192], [0.8661, 0.0000, 0.2808]],
  "volume_a3_per_atom": 19.51
}



2.
{
  "formula": "Pr2Si3Ir2",
  "functional": "PBE",
  "state": "relaxed",
  "lattice": [[2.1380, -8.9145, 0.0000], [2.1380, 8.9145, 0.0000], [0.0000, 0.0000, 7.0142]],
  "species": ["Pr", "Pr", "Pr", "Pr", "Si", "Si", "Si", "Si", "Si", "Si", "Ir", "Ir", "Ir", "Ir"],
  "fractional_positions": [[0.0570, 0.9430, 0.7500], [0.1542, 0.8458, 0.2500], [0.8458, 0.1542, 0.7500], [0.9430, 0.0570, 0.2500], [0.2266, 0.7734, 0.7500], [0.4381, 0.5619, 0.5691], [0.4381, 0.5619, 0.9309], [0.5619, 0.4381, 0.0691], [0.5619, 0.4381, 0.4309], [0.7734, 0.2266, 0.2500], [0.3079, 0.6921, 0.0507], [0.3079, 0.6921, 0.4493], [0.6921, 0.3079, 0.5507], [0.6921, 0.3079, 0.9493]],
  "volume_a3_per_atom": 19.10
}



In eV/atom, relative to the most stable structure: 1 0.030; 2 0.000.



1.
{
  "formula": "Pr3SmIr",
  "functional": "PBE",
  "state": "relaxed",
  "lattice": [[5.6643, 0.0000, 0.0000], [0.0000, 5.6643, 0.0000], [0.0000, 0.0000, 5.6643]],
  "species": ["Pr", "Pr", "Pr", "Sm", "Ir"],
  "fractional_positions": [[0.0000, 0.0000, 0.5000], [0.0000, 0.5000, 0.0000], [0.5000, 0.0000, 0.0000], [0.5000, 0.5000, 0.5000], [0.0000, 0.0000, 0.0000]],
  "volume_a3_per_atom": 36.35
}



2.
{
  "formula": "Pr3SmIr",
  "functional": "PBE",
  "state": "relaxed",
  "lattice": [[7.9436, 0.0000, 0.0000], [0.0000, 6.7305, 0.0000], [0.0000, 0.0000, 6.4657]],
  "species": ["Pr", "Pr", "Pr", "Pr", "Pr", "Pr", "Sm", "Sm", "Ir", "Ir"],
  "fractional_positions": [[0.0000, 0.1535, 0.0000], [0.2491, 0.3145, 0.5042], [0.2509, 0.6855, 0.0042], [0.5000, 0.8465, 0.5000], [0.7491, 0.6855, 0.0042], [0.7509, 0.3145, 0.5042], [0.0000, 0.8409, 0.5077], [0.5000, 0.1591, 0.0077], [0.0000, 0.5031, 0.2547], [0.5000, 0.4969, 0.7547]],
  "volume_a3_per_atom": 34.57
}



In eV/atom, relative to the most stable structure: 1 0.113; 2 0.000.



1.
{
  "formula": "Pr2SmIr",
  "functional": "PBE",
  "state": "relaxed",
  "lattice": [[3.8883, 0.0000, 0.0000], [-1.9441, 3.3673, 0.0000], [0.0000, 0.0000, 32.3384]],
  "species": ["Pr", "Pr", "Pr", "Pr", "Pr", "Pr", "Sm", "Sm", "Sm", "Ir", "Ir", "Ir"],
  "fractional_positions": [[0.0000, 0.0000, 0.1129], [0.0000, 0.0000, 0.8871], [0.3333, 0.6667, 0.5538], [0.3333, 0.6667, 0.7795], [0.6667, 0.3333, 0.2205], [0.6667, 0.3333, 0.4462], [0.0000, 0.0000, 0.0000], [0.3333, 0.6667, 0.6667], [0.6667, 0.3333, 0.3333], [0.0000, 0.0000, 0.5000], [0.3333, 0.6667, 0.1667], [0.6667, 0.3333, 0.8333]],
  "volume_a3_per_atom": 35.28
}



2.
{
  "formula": "Pr2SmIr",
  "functional": "PBE",
  "state": "relaxed",
  "lattice": [[7.3932, 0.0000, 0.0000], [0.0000, 9.9747, 0.0000], [0.0000, 0.0000, 6.5323]],
  "species": ["Pr", "Pr", "Pr", "Pr", "Pr", "Pr", "Pr", "Pr", "Sm", "Sm", "Sm", "Sm", "Ir", "Ir", "Ir", "Ir"],
  "fractional_positions": [[0.1764, 0.0662, 0.1723], [0.1764, 0.4338, 0.1723], [0.3236, 0.5662, 0.6723], [0.3236, 0.9338, 0.6723], [0.6764, 0.0662, 0.3277], [0.6764, 0.4338, 0.3277], [0.8236, 0.5662, 0.8277], [0.8236, 0.9338, 0.8277], [0.0371, 0.2500, 0.6487], [0.4629, 0.7500, 0.1487], [0.5371, 0.2500, 0.8513], [0.9629, 0.7500, 0.3513], [0.1211, 0.7500, 0.9458], [0.3789, 0.2500, 0.4458], [0.6211, 0.7500, 0.5542], [0.8789, 0.2500, 0.0542]],
  "volume_a3_per_atom": 30.11
}



3.
{
  "formula": "Pr2SmIr",
  "functional": "PBE",
  "state": "relaxed",
  "lattice": [[4.0734, 0.0000, 0.0000], [-2.0367, 3.5276, 0.0000], [0.0000, 0.0000, 27.9155]],
  "species": ["Pr", "Pr", "Pr", "Pr", "Pr", "Pr", "Sm", "Sm", "Sm", "Ir", "Ir", "Ir"],
  "fractional_positions": [[0.0000, 0.0000, 0.0000], [0.0000, 0.0000, 0.2172], [0.3333, 0.6667, 0.6667], [0.3333, 0.6667, 0.8839], [0.6667, 0.3333, 0.3333], [0.6667, 0.3333, 0.5506], [0.0000, 0.0000, 0.4431], [0.3333, 0.6667, 0.1098], [0.6667, 0.3333, 0.7765], [0.0000, 0.0000, 0.6085], [0.3333, 0.6667, 0.2751], [0.6667, 0.3333, 0.9418]],
  "volume_a3_per_atom": 33.43
}



4.
{
  "formula": "Pr2SmIr",
  "functional": "PBE",
  "state": "relaxed",
  "lattice": [[6.9507, 0.0000, 0.0000], [0.0000, 6.5325, 0.0000], [0.0000, 0.0000, 11.8132]],
  "species": ["Pr", "Pr", "Pr", "Pr", "Pr", "Pr", "Pr", "Pr", "Sm", "Sm", "Sm", "Sm", "Ir", "Ir", "Ir", "Ir"],
  "fractional_positions": [[0.0876, 0.2501, 0.0842], [0.0876, 0.2499, 0.4158], [0.4124, 0.7499, 0.0842], [0.4124, 0.7501, 0.4158], [0.5876, 0.2499, 0.5842], [0.5876, 0.2501, 0.9158], [0.9124, 0.7501, 0.5842], [0.9124, 0.7499, 0.9158], [0.0689, 0.2500, 0.7500], [0.4311, 0.7500, 0.7500], [0.5689, 0.2500, 0.2500], [0.9311, 0.7500, 0.2500], [0.2500, 0.0000, 0.5907], [0.2500, 0.5000, 0.9093], [0.7500, 0.0000, 0.4093], [0.7500, 0.5000, 0.0907]],
  "volume_a3_per_atom": 33.52
}



In eV/atom, relative to the most stable structure: 1 0.401; 2 0.000; 3 0.213; 4 0.079.



1.
{
  "formula": "Pr3SmIr2",
  "functional": "PBE",
  "state": "relaxed",
  "lattice": [[8.3840, -2.2079, 0.0000], [8.3840, 2.2079, 0.0000], [-5.0470, 0.0000, 10.0291]],
  "species": ["Pr", "Pr", "Pr", "Pr", "Pr", "Pr", "Sm", "Sm", "Ir", "Ir", "Ir", "Ir"],
  "fractional_positions": [[0.0535, 0.0535, 0.2239], [0.2117, 0.2117, 0.5953], [0.3317, 0.3317, 0.9721], [0.6683, 0.6683, 0.0279], [0.7883, 0.7883, 0.4047], [0.9465, 0.9465, 0.7761], [0.4261, 0.4261, 0.3340], [0.5739, 0.5739, 0.6660], [0.1362, 0.1362, 0.8418], [0.3827, 0.3827, 0.5795], [0.6173, 0.6173, 0.4205], [0.8638, 0.8638, 0.1582]],
  "volume_a3_per_atom": 30.94
}



2.
{
  "formula": "Pr3SmIr2",
  "functional": "PBE",
  "state": "relaxed",
  "lattice": [[-3.5179, 7.0131, 3.6527], [3.5179, -7.0131, 3.6527], [3.5179, 7.0131, -3.6527]],
  "species": ["Pr", "Pr", "Pr", "Pr", "Pr", "Pr", "Sm", "Sm", "Ir", "Ir", "Ir", "Ir"],
  "fractional_positions": [[0.0140, 0.7500, 0.2640], [0.2500, 0.2500, 0.0000], [0.4860, 0.7500, 0.7360], [0.5140, 0.2500, 0.2640], [0.7500, 0.7500, 0.0000], [0.9860, 0.2500, 0.7360], [0.0000, 0.5000, 0.5000], [0.5000, 0.0000, 0.5000], [0.1367, 0.2155, 0.3522], [0.3633, 0.7155, 0.0788], [0.6367, 0.2845, 0.9212], [0.8633, 0.7845, 0.6478]],
  "volume_a3_per_atom": 30.04
}



In eV/atom, relative to the most stable structure: 1 0.000; 2 0.040.



1.
{
  "formula": "Pr2Sm2Ir3",
  "functional": "PBE",
  "state": "relaxed",
  "lattice": [[4.2764, 0.0000, 0.0000], [-2.1361, 6.4579, 0.0000], [-0.0052, -1.3729, 7.2934]],
  "species": ["Pr", "Pr", "Sm", "Sm", "Ir", "Ir", "Ir"],
  "fractional_positions": [[0.1418, 0.2820, 0.3518], [0.8582, 0.7180, 0.6482], [0.3692, 0.7379, 0.0842], [0.6308, 0.2621, 0.9158], [0.0000, 0.0000, 0.0000], [0.2216, 0.4446, 0.7392], [0.7784, 0.5554, 0.2608]],
  "volume_a3_per_atom": 28.77
}



2.
{
  "formula": "Pr2Sm2Ir3",
  "functional": "PBE",
  "state": "relaxed",
  "lattice": [[-4.4294, 4.4294, 4.4294], [4.4294, -4.4294, 4.4294], [4.4294, 4.4294, -4.4294]],
  "species": ["Pr", "Pr", "Pr", "Pr", "Sm", "Sm", "Sm", "Sm", "Ir", "Ir", "Ir", "Ir", "Ir", "Ir"],
  "fractional_positions": [[0.0000, 0.3716, 0.5000], [0.1284, 0.1284, 0.1284], [0.3716, 0.5000, 0.0000], [0.5000, 0.0000, 0.3716], [0.0000, 0.8766, 0.5000], [0.5000, 0.0000, 0.8766], [0.6234, 0.6234, 0.6234], [0.8766, 0.5000, 0.0000], [0.1117, 0.7500, 0.8617], [0.2500, 0.6383, 0.3883], [0.3883, 0.2500, 0.6383], [0.6383, 0.3883, 0.2500], [0.7500, 0.8617, 0.1117], [0.8617, 0.1117, 0.7500]],
  "volume_a3_per_atom": 24.83
}



In eV/atom, relative to the most stable structure: 1 0.085; 2 0.000.



1.
{
  "formula": "Pr3SnIr",
  "functional": "PBE",
  "state": "relaxed",
  "lattice": [[9.3216, -4.7735, 0.0000], [9.3216, 4.7735, 0.0000], [-1.4639, 0.0000, 6.5106]],
  "species": ["Pr", "Pr", "Pr", "Pr", "Pr", "Pr", "Pr", "Pr", "Pr", "Pr", "Pr", "Pr", "Sn", "Sn", "Sn", "Sn", "Ir", "Ir", "Ir", "Ir"],
  "fractional_positions": [[0.1245, 0.1928, 0.4625], [0.1928, 0.1245, 0.9625], [0.2125, 0.7160, 0.9729], [0.2668, 0.4550, 0.3541], [0.2840, 0.7875, 0.5271], [0.4550, 0.2668, 0.8541], [0.5450, 0.7332, 0.1459], [0.7160, 0.2125, 0.4729], [0.7332, 0.5450, 0.6459], [0.7875, 0.2840, 0.0271], [0.8072, 0.8755, 0.0375], [0.8755, 0.8072, 0.5375], [0.0803, 0.4913, 0.8173], [0.4913, 0.0803, 0.3173], [0.5087, 0.9197, 0.6827], [0.9197, 0.5087, 0.1827], [0.0023, 0.9977, 0.2500], [0.5001, 0.4999, 0.2500], [0.4999, 0.5001, 0.7500], [0.9977, 0.0023, 0.7500]],
  "volume_a3_per_atom": 28.97
}



2.
{
  "formula": "Pr3SnIr",
  "functional": "PBE",
  "state": "relaxed",
  "lattice": [[5.5485, 0.0000, 0.0000], [0.0000, 5.5485, 0.0000], [0.0000, 0.0000, 5.5485]],
  "species": ["Pr", "Pr", "Pr", "Sn", "Ir"],
  "fractional_positions": [[0.0000, 0.0000, 0.5000], [0.0000, 0.5000, 0.0000], [0.5000, 0.0000, 0.0000], [0.5000, 0.5000, 0.5000], [0.0000, 0.0000, 0.0000]],
  "volume_a3_per_atom": 34.16
}



3.
{
  "formula": "Pr3SnIr",
  "functional": "PBE",
  "state": "relaxed",
  "lattice": [[7.2649, 0.0000, 0.0000], [0.0000, 4.7461, 0.0000], [-1.7748, 0.0000, 8.9957]],
  "species": ["Pr", "Pr", "Pr", "Pr", "Pr", "Pr", "Sn", "Sn", "Ir", "Ir"],
  "fractional_positions": [[0.0561, 0.2500, 0.3374], [0.2634, 0.2500, 0.9533], [0.4162, 0.7500, 0.6045], [0.5838, 0.2500, 0.3955], [0.7366, 0.7500, 0.0467], [0.9439, 0.7500, 0.6626], [0.3257, 0.7500, 0.1989], [0.6743, 0.2500, 0.8011], [0.2079, 0.2500, 0.6419], [0.7921, 0.7500, 0.3581]],
  "volume_a3_per_atom": 31.02
}



In eV/atom, relative to the most stable structure: 1 0.016; 2 0.157; 3 0.000.



1.
{
  "formula": "PrSn3Ir2",
  "functional": "PBE",
  "state": "relaxed",
  "lattice": [[8.8281, -2.2043, 0.0000], [8.8281, 2.2043, 0.0000], [-3.0439, 0.0000, 10.3730]],
  "species": ["Pr", "Pr", "Pr", "Sn", "Sn", "Sn", "Sn", "Sn", "Sn", "Sn", "Sn", "Sn", "Ir", "Ir", "Ir", "Ir", "Ir", "Ir"],
  "fractional_positions": [[0.0000, 0.0000, 0.0000], [0.1533, 0.1533, 0.6997], [0.8467, 0.8467, 0.3003], [0.0437, 0.0437, 0.3471], [0.2236, 0.2236, 0.3815], [0.3380, 0.3380, 0.0636], [0.3709, 0.3709, 0.8156], [0.5000, 0.5000, 0.5000], [0.6291, 0.6291, 0.1844], [0.6620, 0.6620, 0.9364], [0.7764, 0.7764, 0.6185], [0.9563, 0.9563, 0.6529], [0.1992, 0.1992, 0.1172], [0.3598, 0.3598, 0.5600], [0.4831, 0.4831, 0.2242], [0.5169, 0.5169, 0.7758], [0.6402, 0.6402, 0.4400], [0.8008, 0.8008, 0.8828]],
  "volume_a3_per_atom": 22.43
}



2.
{
  "formula": "PrSn3Ir2",
  "functional": "PBE",
  "state": "relaxed",
  "lattice": [[3.2194, 1.8587, 7.4446], [-3.2194, 1.8587, 7.4446], [0.0000, -3.7175, 7.4446]],
  "species": ["Pr", "Pr", "Sn", "Sn", "Sn", "Sn", "Sn", "Sn", "Ir", "Ir", "Ir", "Ir"],
  "fractional_positions": [[0.2143, 0.2143, 0.2143], [0.7857, 0.7857, 0.7857], [0.2450, 0.7426, 0.7426], [0.2574, 0.2574, 0.7550], [0.2574, 0.7550, 0.2574], [0.7426, 0.2450, 0.7426], [0.7426, 0.7426, 0.2450], [0.7550, 0.2574, 0.2574], [0.0000, 0.0000, 0.0000], [0.0000, 0.5000, 0.5000], [0.5000, 0.0000, 0.5000], [0.5000, 0.5000, 0.0000]],
  "volume_a3_per_atom": 22.27
}



In eV/atom, relative to the most stable structure: 1 0.000; 2 0.198.



1.
{
  "formula": "Pr2Sn3Ir",
  "functional": "PBE",
  "state": "relaxed",
  "lattice": [[4.1853, 0.0000, 0.0000], [0.0000, 4.8081, 0.0000], [0.0000, 0.0000, 8.0481]],
  "species": ["Pr", "Pr", "Sn", "Sn", "Sn", "Ir"],
  "fractional_positions": [[0.0000, 0.0000, 0.0000], [0.0000, 0.5000, 0.4565], [0.5000, 0.0000, 0.6106], [0.5000, 0.5000, 0.1492], [0.5000, 0.5000, 0.7982], [0.5000, 0.0000, 0.2836]],
  "volume_a3_per_atom": 26.99
}



2.
{
  "formula": "Pr2Sn3Ir",
  "functional": "PBE",
  "state": "relaxed",
  "lattice": [[11.3188, 0.0000, 0.0000], [0.0000, 4.7549, 0.0000], [-4.7980, 0.0000, 5.7894]],
  "species": ["Pr", "Pr", "Pr", "Pr", "Sn", "Sn", "Sn", "Sn", "Sn", "Sn", "Ir", "Ir"],
  "fractional_positions": [[0.0000, 0.0000, 0.0000], [0.1235, 0.0000, 0.6079], [0.5000, 0.5000, 0.0000], [0.6235, 0.5000, 0.6079], [0.1750, 0.5000, 0.9390], [0.2452, 0.5000, 0.4175], [0.3899, 0.0000, 0.2196], [0.6750, 0.0000, 0.9390], [0.7452, 0.0000, 0.4175], [0.8899, 0.5000, 0.2196], [0.3786, 0.0000, 0.5741], [0.8786, 0.5000, 0.5741]],
  "volume_a3_per_atom": 25.97
}



In eV/atom, relative to the most stable structure: 1 0.081; 2 0.000.